Density functional theory data (GGA+U) for a geometry-optimized AcPaCoO5 structure.

Cell lengths 6.132, 6.132, 7.966 Å; angles 102.77, 102.77, 108.56 degrees
Positions (direct):
Ac: 0.163 0.837 0.750
Ac: 0.837 0.163 0.250
Pa: 0.500 0.500 0.000
Pa: 0.500 0.500 0.500
Co: 0.181 0.819 0.250
Co: 0.819 0.181 0.750
O: 0.137 0.230 0.918
O: 0.188 0.591 0.392
O: 0.230 0.137 0.418
O: 0.409 0.812 0.108
O: 0.411 0.589 0.750
O: 0.589 0.411 0.250
O: 0.591 0.188 0.892
O: 0.770 0.863 0.582
O: 0.812 0.409 0.608
O: 0.863 0.770 0.082

electronic total energy = -66.8 eV/f.u.